(1)
The following is a DFT calculation (PBE) of a geometry-optimized Zn3Mo3N structure.

Cell lengths 8.036, 8.036, 8.036 Å; angles 60.00, 60.00, 60.00 degrees
Positions (direct):
Zn 0.835 0.835 0.835
Zn 0.415 0.415 0.755
Zn 0.415 0.755 0.415
Zn 0.755 0.415 0.415
Zn 0.835 0.495 0.835
Zn 0.495 0.835 0.835
Zn 0.835 0.835 0.495
Zn 0.415 0.415 0.415
Zn 0.625 0.625 0.625
Zn 0.625 0.625 0.125
Zn 0.625 0.125 0.625
Zn 0.125 0.625 0.625
Mo 0.060 0.440 0.060
Mo 0.190 0.190 0.810
Mo 0.810 0.810 0.190
Mo 0.810 0.190 0.810
Mo 0.810 0.190 0.190
Mo 0.190 0.810 0.810
Mo 0.440 0.060 0.060
Mo 0.060 0.060 0.440
Mo 0.440 0.440 0.060
Mo 0.060 0.440 0.440
Mo 0.190 0.810 0.190
Mo 0.440 0.060 0.440
N 0.125 0.125 0.125
N 0.125 0.125 0.625
N 0.125 0.625 0.125
N 0.625 0.125 0.125

## Properties
The crystal system is cubic. Its final energy is -6.54 eV per atom. For the volume, the calculation gives 91.7 Å³/f.u. The raw formation energy comes out at -0.163 eV/atom. The calculation puts the density of states at the Fermi level at 18.3 states/eV/cell.

***

(2)
The following is a DFT calculation (PBE) of a geometry-optimized TbMgZnAg structure.

Cell lengths 4.902, 4.902, 4.902 Å; angles 60.00, 60.00, 60.00 degrees
Positions (direct):
Zn 0.750 0.750 0.750
Tb 0.000 0.000 0.000
Mg 0.500 0.500 0.500
Ag 0.250 0.250 0.250

## Properties
The crystal system is cubic. Its final energy is -2.91 eV per atom. For the volume, the calculation gives 83.3 Å³/f.u. The calculation puts the density of states at the Fermi level at 1.7 states/eV/cell. The value obtained for the formation enthalpy at 0 K is -324 meV/atom.

***

(3)
The following is a DFT calculation (PBE) of a geometry-optimized Ta2GaMo structure.

Cell lengths 7.285, 7.285, 5.844 Å; angles 51.44, 51.44, 90.00 degrees
Positions (direct):
Mo 0.000 0.000 0.000
Mo 0.750 0.250 0.500
Ga 0.500 0.500 0.000
Ga 0.250 0.750 0.500
Ta 0.637 0.125 0.250
Ta 0.113 0.625 0.250
Ta 0.375 0.363 0.750
Ta 0.875 0.887 0.750

## Properties
The crystal system is tetragonal. Its final energy is -8.78 eV per atom. For the volume, the calculation gives 73.2 Å³/f.u. The calculation puts the density of states at the Fermi level at 5.9 states/eV/cell. The value obtained for the formation enthalpy at 0 K is 606 meV/atom.

***

(4)
The following is a DFT calculation (PBE) of a geometry-optimized Ca2ScPb structure.

Cell lengths 5.040, 3.783, 6.922 Å; angles 74.01, 90.00, 90.00 degrees
Positions (direct):
Pb 0.000 0.685 0.502
Sc 0.500 0.567 0.743
Ca 0.000 0.956 0.962
Ca 0.500 0.292 0.293

## Properties
The crystal system is monoclinic. Its final energy is -3.68 eV per atom. For the volume, the calculation gives 126.9 Å³/f.u. The calculation puts the density of states at the Fermi level at 4.4 states/eV/cell. The value obtained for the formation enthalpy at 0 K is -172 meV/atom.

***

(5)
The following is a DFT calculation (PBE) of a geometry-optimized Pu3Zn2Pt4 structure.

Cell lengths 4.504, 4.504, 9.902 Å; angles 90.00, 90.00, 120.00 degrees
Positions (direct):
Pu 0.333 0.667 0.566
Pu 0.000 0.000 0.000
Pu 0.667 0.333 0.434
Zn 0.333 0.667 0.214
Zn 0.667 0.333 0.786
Pt 0.667 0.333 0.145
Pt 0.000 0.000 0.688
Pt 0.000 0.000 0.312
Pt 0.333 0.667 0.855

## Properties
The crystal system is trigonal. Its final energy is -8.32 eV per atom. For the excess energy over the best structure of this formula in the dataset, the calculation gives 109.5 meV per atom. For the volume, the calculation gives 174.0 Å³/f.u. The calculation puts the density of states at the Fermi level at 22.6 states/eV/cell. The value obtained for the formation enthalpy at 0 K is -577 meV/atom.

***

(6)
The following is a DFT calculation (PBE) of a geometry-optimized La2BePdN structure.

Cell lengths 5.318, 5.318, 3.384 Å; angles 90.00, 90.00, 90.00 degrees
Positions (direct):
Be 0.000 0.000 0.500
N 0.000 0.000 0.000
Pd 0.500 0.500 0.500
La 0.000 0.500 0.000
La 0.500 0.000 0.000

## Properties
The crystal system is tetragonal. Its final energy is -6.17 eV per atom. For the volume, the calculation gives 95.7 Å³/f.u. The raw formation energy comes out at -0.749 eV/atom. The calculation puts the density of states at the Fermi level at 3.6 states/eV/cell.